Below is AgMoI2O after structural relaxation, with properties calculated at the PBE+U level.

Crystal system: tetragonal
Uncorrected energy, eV/cell: -19.36
SG: No. 123

Lattice parameters (Å, degrees): 5.9390 5.9390 3.9012 90.00 90.00 90.00
Closest atoms and distances in Å follow each position.
Sites, in units of the cell vectors:
Ag 0.0000 0.0000 0.0000  8 I 3.55, 2 Ag 3.90
Mo 0.5000 0.5000 0.5000  2 O 1.95
I 0.0000 0.5000 0.5000  2 Mo 2.97
I 0.5000 0.0000 0.5000  2 Mo 2.97
O 0.5000 0.5000 0.0000  2 Mo 1.95